1.
# PBE ZrScTlIn, relaxed
# - formation enthalpy at 0 K (eV/atom) = -0.160
# - distance to the lowest polymorph of the same formula (eV/atom) = 0.081
# - uncorrected energy (eV for the cell shown) = -82.5
data_ZrScTlIn
_chemical_formula_sum 'Zr4 Sc4 Tl4 In4'
_symmetry_space_group_name_H-M 'F -4 3 m'
_symmetry_Int_Tables_number 216
_symmetry_space_group_name_Hall 'F -4 2 3'
_cell_length_a 7.1592
_cell_length_b 7.1592
_cell_length_c 7.1592
_cell_angle_alpha 90.00
_cell_angle_beta 90.00
_cell_angle_gamma 90.00
loop_
_atom_site_label
_atom_site_type_symbol
_atom_site_fract_x
_atom_site_fract_y
_atom_site_fract_z
Zr1 Zr 0.0000 0.0000 0.0000
Sc1 Sc 0.0000 0.0000 0.5000
Tl1 Tl 0.2500 0.2500 0.7500
In1 In 0.2500 0.2500 0.2500

---

2.
# PBE Tm2Sc3In2, relaxed
# - formation enthalpy at 0 K (eV/atom) = -0.020
# - distance to the lowest polymorph of the same formula (eV/atom) = 0.109
# - uncorrected energy (eV for the cell shown) = -67.1
data_Tm2Sc3In2
_chemical_formula_sum 'Tm4 Sc6 In4'
_symmetry_space_group_name_H-M 'C m m m'
_symmetry_Int_Tables_number 65
_symmetry_space_group_name_Hall '-C 2 2'
_cell_length_a 5.2379
_cell_length_b 20.9388
_cell_length_c 3.1333
_cell_angle_alpha 90.00
_cell_angle_beta 90.00
_cell_angle_gamma 90.00
loop_
_atom_site_label
_atom_site_type_symbol
_atom_site_fract_x
_atom_site_fract_y
_atom_site_fract_z
Tm1 Tm 0.0000 0.0761 0.0000
Sc1 Sc 0.0000 0.2188 0.0000
Sc2 Sc 0.0000 0.5000 0.0000
In1 In 0.0000 0.3524 0.5000

---

3.
# PBE Tm2ScIn, relaxed
# - formation enthalpy at 0 K (eV/atom) = -0.254
# - distance to the lowest polymorph of the same formula (eV/atom) = 0.000
# - uncorrected energy (eV for the cell shown) = -19.0
data_Tm2ScIn
_chemical_formula_sum 'Tm2 Sc1 In1'
_symmetry_space_group_name_H-M 'P 4/m m m'
_symmetry_Int_Tables_number 123
_symmetry_space_group_name_Hall '-P 4 2'
_cell_length_a 4.7052
_cell_length_b 4.7052
_cell_length_c 4.6754
_cell_angle_alpha 90.00
_cell_angle_beta 90.00
_cell_angle_gamma 90.00
loop_
_atom_site_label
_atom_site_type_symbol
_atom_site_fract_x
_atom_site_fract_y
_atom_site_fract_z
Tm1 Tm 0.0000 0.5000 0.0000
Sc1 Sc 0.0000 0.0000 0.5000
In1 In 0.5000 0.5000 0.5000